# 1
The following is a DFT calculation (SCAN) of KZn2Ni2 at its PBEsol-relaxed geometry.

Cell: 4.189 4.189 9.745 Å, 90.00 90.00 90.00°
Space group I4/mmm (No. 139)
Unique sites:
1 K 0.000 0.000 0.000
2 Zn 0.000 0.500 0.250
3 Ni 0.000 0.000 0.380

Output
The value obtained for the formation energy is 0.30 eV/atom.

***

# 2
The following is a DFT calculation (SCAN) of TaHg3F at its PBEsol-relaxed geometry.

Cell: 5.313 5.313 5.313 Å, 90.00 90.00 90.00°
Space group Pm-3m (No. 221)
Unique sites:
1 Ta 0.000 0.000 0.000
2 Hg 0.000 0.000 0.500
3 F 0.500 0.500 0.500

Output
The total energy is -54.367 eV/atom.

***

# 3
The following is a DFT calculation (SCAN) of ScCSeBr2 at its PBEsol-relaxed geometry.

Cell: 4.535 4.535 4.527 Å, 90.00 90.00 90.00°
Space group P4/mmm (No. 123)
Unique sites:
1 Sc 0.000 0.000 0.000
2 C 0.500 0.500 0.500
3 Se 0.500 0.500 0.000
4 Br 0.000 0.500 0.500

Output
The total energy is -16.159 eV/atom.

***

# 4
The following is a DFT calculation (SCAN) of LiSnTe2 at its PBEsol-relaxed geometry.

Cell: 4.2938 4.2938 25.8424 Å, 90.00 90.00 120.00°
Space group R-3m (No. 166, hexagonal axes)
Unique sites:
1 Li 0.0000 0.0000 0.0000
2 Sn 0.0000 0.0000 0.5000
3 Te 0.0000 0.0000 0.1008

Output
The total energy is -28.497 eV/atom.